Below is a relaxed Ho2TmMg4In2 crystal, with properties calculated at the PBE-GGA level.

Values from the calculation:
SG   No. 38
Total magnetic moment   0.001 μB per atom
E_tot   -0.113 Ha/atom

a = 4.6377 Å, b = 7.5263 Å, c = 7.5263 Å
α = 119.79°, β = 90.00°, γ = 90.00°
Positions (direct):
Ho 0.0000 0.2185 0.7815
Ho 0.0000 0.7815 0.2185
Tm 0.0000 0.3432 0.3432
Mg 0.0000 0.7791 0.7791
Mg 0.5000 0.0231 0.0231
Mg 0.5000 0.5381 0.7810
Mg 0.5000 0.7810 0.5381
In 0.5000 0.1156 0.4475
In 0.5000 0.4475 0.1156